Entry from the Alexandria database: a geometry-optimized SrPuPaO6 structure (PBE).

Structure (POSCAR):
```
SrPuPaO6
1.0
5.9572 0.0000 0.0000
-2.9786 5.1590 0.0000
0.0000 0.0000 10.0353
Sr Pu Pa O
2 2 2 12
Cartesian
0.0000 0.0000 0.0000
0.0000 0.0000 5.0176
2.9786 1.7197 2.5088
0.0000 3.4394 7.5264
0.0000 3.4394 2.5088
2.9786 1.7197 7.5264
1.9086 3.2488 1.4447
4.8378 1.8818 1.4447
-0.7892 5.1305 6.4623
-1.8592 3.2773 8.5906
1.1194 1.8818 3.5730
4.0486 3.2488 3.5730
0.7892 5.1305 8.5906
3.7678 0.0285 3.5730
-1.0700 1.9103 6.4623
2.1893 0.0285 1.4447
1.8592 3.2773 6.4623
1.0700 1.9103 8.5906
```

Summary:
formation energy without anion corrections = -3135 meV per atom
mass density = 7.1 g cm⁻³
raw total energy = -9.275 eV per atom
total magnetization = 3.00 μB/f.u.

---

Entry from the Alexandria database: a geometry-optimized LiCe2GePd6 structure (PBE).

Structure (POSCAR):
```
LiCe2GePd6
1.0
-4.4340 -3.5406 1.4023
6.7641 -0.4519 3.3389
-1.2767 1.9414 4.6915
Li Ce Ge Pd
1 2 1 6
Cartesian
0.0000 0.0000 0.0000
-1.4044 -1.2776 4.3913
2.4578 -0.7736 5.0414
1.1651 -1.9963 2.3706
0.5841 0.4383 2.9204
4.4091 -0.1490 2.6224
2.4029 -0.8184 7.8107
-1.3495 -1.2328 1.6221
-3.3557 -1.9022 6.8104
0.4693 -2.4895 6.5124
```

Summary:
mass density = 9.0 g cm⁻³
raw total energy = -5.560 eV per atom
total magnetization = 1.01 μB/f.u.
E_form = -0.6043 eV per atom

---

Entry from the Alexandria database: a geometry-optimized VHIr2Cl structure (PBE).

Structure (POSCAR):
```
VHIr2Cl
1.0
-3.2044 -2.9614 0.5911
0.1305 -0.9747 -4.1757
3.0169 -3.1011 0.8181
Cl Ir H V
1 2 1 1
Cartesian
0.0000 0.0000 0.0000
1.5084 -1.5505 0.4091
-1.6022 -1.4807 0.2955
-0.0285 -3.5186 -1.3833
0.0652 -0.4873 -2.0879
```

Summary:
mass density = 9.4 g cm⁻³
raw total energy = -4.671 eV per atom
total magnetization = 1.10 μB/f.u.